The following is a PBE calculation of a geometry-optimized TiAl2HI structure, from Alexandria via LeMat-Bulk.

Geometry as POSCAR:
```
TiAl2HI
1.0
5.6482 0.0000 0.0000
0.0000 5.6482 0.0000
0.0000 0.0000 3.4430
Ti Al H I
1 2 1 1
Direct
0.0000 0.0000 0.0000
0.0000 0.5000 0.5000
0.5000 0.0000 0.5000
0.5000 0.5000 0.0000
0.5000 0.5000 0.5000
```

Calculated values
- Total magnetization: 0.252 μB per atom
- DOS(E_F): 4.77 states/eV/cell
- Final energy: -15.6 eV per cell

---

The following is a PBE calculation of a geometry-optimized ZrAlH2I structure, from Alexandria via LeMat-Bulk.

Geometry as POSCAR:
```
ZrAlH2I
1.0
3.9162 0.0000 0.0000
0.0000 3.9162 0.0000
0.0000 0.0000 9.3248
Zr Al H I
1 1 2 1
Direct
0.0000 0.0000 0.0000
0.5000 0.5000 0.0000
0.0000 0.5000 0.5000
0.5000 0.0000 0.5000
0.5000 0.5000 0.5000
```

Calculated values
- Total magnetization: 0.000 μB per atom
- DOS(E_F): 4.77 states/eV/cell
- Final energy: -16.2 eV per cell

---

The following is a PBE calculation of a geometry-optimized AlIn3H structure, from Alexandria via LeMat-Bulk.

Geometry as POSCAR:
```
AlIn3H
1.0
5.3722 0.0000 0.0000
0.0000 5.3722 0.0000
0.0000 0.0000 5.3722
Al In H
1 3 1
Direct
0.0000 0.0000 0.0000
0.0000 0.0000 0.5000
0.0000 0.5000 0.0000
0.5000 0.0000 0.0000
0.5000 0.5000 0.5000
```

Calculated values
- Total magnetization: 0.000 μB per atom
- DOS(E_F): 2.06 states/eV/cell
- E above lowest polymorph: 1.962 eV per formula unit
- Final energy: -11.8 eV per cell

---

The following is a PBE calculation of a geometry-optimized AlIn3H structure, from Alexandria via LeMat-Bulk.

Geometry as POSCAR:
```
AlIn3H
1.0
4.7071 0.0000 0.0000
0.0000 4.7071 0.0000
0.0000 0.0000 4.7071
Al In H
1 3 1
Direct
0.0000 0.0000 0.0000
0.0000 0.5000 0.5000
0.5000 0.0000 0.5000
0.5000 0.5000 0.0000
0.5000 0.5000 0.5000
```

Calculated values
- Total magnetization: 0.000 μB per atom
- DOS(E_F): 2.18 states/eV/cell
- E above lowest polymorph: 0.000 eV per formula unit
- Final energy: -13.7 eV per cell

---

Q: Which formula does entry 4 have?
A: AlIn3H